Tm2Co3Si4 | the Alexandria database | PBE-GGA | optimized geometry; raw formation energy = -0.611 eV per atom; Fermi-level density of states = 0.472 states/eV/atom
1.0
5.1899 -0.1422 0.0000
-2.5380 4.5292 0.0000
-1.3260 -2.1935 5.7864
Tm Co Si
2 3 4
Direct
0.6332 0.6332 0.2664
0.3668 0.3668 0.7336
0.5000 0.0000 0.0000
0.0000 0.0000 0.0000
0.0000 0.5000 0.0000
0.0216 0.6692 0.6908
0.6692 0.0216 0.6908
0.9784 0.3308 0.3092
0.3308 0.9784 0.3092